1.
A relaxed K2LaSmTe4 crystal. Source: Alexandria via LeMat-Bulk, functional PBE.

a b c (Å): 4.644 8.044 8.663
angles (deg): 108.00 90.00 90.00
Atoms (fractional coordinates):
K1 0.500 0.000 0.500
K2 0.000 0.500 0.500
La1 0.000 0.000 0.000
Sm1 0.500 0.500 0.000
Te1 0.500 0.244 0.215
Te2 0.500 0.756 0.785
Te3 0.000 0.268 0.787
Te4 0.000 0.732 0.213

Calculated values
DFT total energy ... -4.505 eV/atom

=====

2.
A relaxed K4LaSm3Te8 crystal. Source: Alexandria via LeMat-Bulk, functional PBE.

a b c (Å): 9.216 9.818 9.217
angles (deg): 118.03 120.00 90.00
Atoms (fractional coordinates):
K1 0.500 0.000 0.000
K2 0.500 0.000 0.500
K3 0.000 0.000 0.000
K4 0.000 0.000 0.500
La1 0.000 0.500 0.000
Sm1 0.500 0.500 0.000
Sm2 0.500 0.500 0.500
Sm3 0.000 0.500 0.500
Te1 0.241 0.714 0.973
Te2 0.241 0.714 0.482
Te3 0.263 0.288 0.525
Te4 0.732 0.714 0.973
Te5 0.268 0.286 0.027
Te6 0.737 0.712 0.475
Te7 0.759 0.286 0.518
Te8 0.759 0.286 0.027

Calculated values
DFT total energy ... -4.471 eV/atom

=====

3.
A relaxed KLaSm2Te4 crystal. Source: Alexandria via LeMat-Bulk, functional PBE.

a b c (Å): 4.504 8.027 7.912
angles (deg): 71.44 90.00 90.00
Atoms (fractional coordinates):
K1 0.000 0.500 0.500
La1 0.500 0.500 0.000
Sm1 0.000 0.000 0.000
Sm2 0.500 0.000 0.500
Te1 0.000 0.762 0.750
Te2 0.000 0.238 0.250
Te3 0.500 0.768 0.238
Te4 0.500 0.232 0.762

Calculated values
DFT total energy ... -4.931 eV/atom

=====

4.
A relaxed K3LaSn crystal. Source: Alexandria via LeMat-Bulk, functional PBE.

a b c (Å): 6.571 6.571 6.571
angles (deg): 90.00 90.00 90.00
Atoms (fractional coordinates):
K1 0.000 0.500 0.000
K2 0.000 0.000 0.500
K3 0.500 0.000 0.000
Sn1 0.500 0.500 0.500
La1 0.000 0.000 0.000

Calculated values
DFT total energy ... -1.418 eV/atom

=====

5.
A relaxed KLaSn crystal. Source: Alexandria via LeMat-Bulk, functional PBE.

a b c (Å): 5.368 3.786 16.880
angles (deg): 102.96 99.74 45.09
Atoms (fractional coordinates):
K1 0.776 0.344 0.370
K2 0.224 0.656 0.630
Sn1 0.267 0.205 0.221
Sn2 0.733 0.795 0.779
La1 0.758 0.090 0.098
La2 0.242 0.910 0.902

Calculated values
DFT total energy ... -3.599 eV/atom

=====

6.
A relaxed KLa2Sn2 crystal. Source: Alexandria via LeMat-Bulk, functional PBE.

a b c (Å): 5.310 5.310 7.838
angles (deg): 70.20 70.20 90.00
Atoms (fractional coordinates):
K1 0.000 0.000 0.000
Sn1 0.393 0.393 0.215
Sn2 0.607 0.607 0.785
La1 0.750 0.250 0.500
La2 0.250 0.750 0.500

Calculated values
DFT total energy ... -4.055 eV/atom